No. 1
La5HoAg4 | PBE-GGA | relaxed

Lattice parameters (Å, degrees): 3.7993 3.7993 20.2889 90.00 90.00 90.00
Sites, in units of the cell vectors:
La 0.0000 0.0000 0.0000
La 0.0000 0.0000 0.1914
La 0.0000 0.0000 0.3807
La 0.0000 0.0000 0.6193
La 0.0000 0.0000 0.8086
Ho 0.5000 0.5000 0.5000
Ag 0.5000 0.5000 0.0950
Ag 0.5000 0.5000 0.2882
Ag 0.5000 0.5000 0.7118
Ag 0.5000 0.5000 0.9050

## Properties
* symmetry: P4/mmm, No. 123
* formation energy: -195 meV per atom
* crystal system: tetragonal


No. 2
V2TcNiRh | PBE-GGA | relaxed

Lattice parameters (Å, degrees): 4.2031 4.2031 4.4587 90.00 90.00 90.00
Sites, in units of the cell vectors:
V 0.0000 0.5000 0.0000
V 0.5000 0.0000 0.0000
Tc 0.0000 0.0000 0.5000
Ni 0.5000 0.5000 0.0000
Rh 0.5000 0.5000 0.5000

## Properties
* symmetry: P4/mmm, No. 123
* formation energy: 1055 meV per atom
* crystal system: tetragonal


No. 3
NaBe2GaF8 | PBE-GGA | relaxed

Lattice parameters (Å, degrees): 4.7803 4.7803 7.0773 90.05 90.05 67.26
Sites, in units of the cell vectors:
Na 0.0000 0.0000 0.0000
Be 0.3559 0.3559 0.2763
Be 0.6441 0.6441 0.7237
Ga 0.0000 0.0000 0.5000
F 0.2246 0.7189 0.3047
F 0.2335 0.2335 0.4533
F 0.2742 0.2742 0.0891
F 0.2811 0.7754 0.6953
F 0.7189 0.2246 0.3047
F 0.7258 0.7258 0.9109
F 0.7665 0.7665 0.5467
F 0.7754 0.2811 0.6953

## Properties
* symmetry: C2/m, No. 12
* crystal system: monoclinic
* uncorrected energy: -5.19 eV/atom


No. 4
CeEr4In2 | PBE-GGA | relaxed

Lattice parameters (Å, degrees): 8.1252 6.6105 8.5054 90.00 117.67 90.00
Sites, in units of the cell vectors:
Ce 0.2457 0.2500 0.3323
Ce 0.7543 0.7500 0.6677
Er 0.0318 0.7500 0.5099
Er 0.1118 0.2500 0.9124
Er 0.4248 0.0031 0.7665
Er 0.4248 0.4969 0.7665
Er 0.5752 0.5031 0.2335
Er 0.5752 0.9969 0.2335
Er 0.8882 0.7500 0.0876
Er 0.9682 0.2500 0.4901
In 0.2010 0.7500 0.9516
In 0.3290 0.7500 0.3830
In 0.6710 0.2500 0.6170
In 0.7990 0.2500 0.0484

## Properties
* symmetry: P2_1/m, No. 11
* formation energy: -126 meV per atom
* crystal system: monoclinic


No. 5
CuAgPtO4 | PBE-GGA | relaxed

Lattice parameters (Å, degrees): 6.4866 6.4866 6.4866 127.85 121.53 82.15
Sites, in units of the cell vectors:
Cu 0.5000 0.0000 0.0000
Cu 0.5000 0.5000 0.5000
Ag 0.0792 0.3292 0.7500
Ag 0.9208 0.6708 0.2500
Pt 0.0000 0.0000 0.0000
Pt 0.5000 0.0000 0.5000
O 0.2436 0.2190 0.4754
O 0.2436 0.7681 0.0246
O 0.2560 0.2055 0.0505
O 0.3451 0.7945 0.5505
O 0.6549 0.2055 0.4495
O 0.7440 0.7945 0.9495
O 0.7564 0.2319 0.9754
O 0.7564 0.7810 0.5246

## Properties
* symmetry: Imma, No. 74
* crystal system: orthorhombic
* uncorrected energy: -5.10 eV/atom


No. 6
SiPAu2 | PBE-GGA | relaxed

Lattice parameters (Å, degrees): 5.0470 5.0470 5.0470 132.64 132.64 69.22
Sites, in units of the cell vectors:
Si 0.0000 0.0000 0.0000
P 0.7500 0.2500 0.5000
Au 0.2500 0.7500 0.5000
Au 0.5000 0.5000 0.0000

## Properties
* symmetry: I-4m2, No. 119
* crystal system: tetragonal
* offset from the most stable computed form: 369 meV/atom


No. 7
AcCuAsO4 | PBE-GGA | relaxed

Lattice parameters (Å, degrees): 6.7030 6.7030 6.7030 132.43 91.56 107.34
Sites, in units of the cell vectors:
Ac 0.0000 0.0000 0.0000
Ac 0.5000 0.0000 0.5000
Cu 0.5000 0.0000 0.0000
Cu 0.5000 0.5000 0.5000
As 0.1211 0.3711 0.7500
As 0.8789 0.6289 0.2500
O 0.1215 0.6791 0.4424
O 0.2633 0.3209 0.9424
O 0.2671 0.2581 0.4910
O 0.2671 0.7761 0.0090
O 0.7329 0.2239 0.9910
O 0.7329 0.7419 0.5090
O 0.7367 0.6791 0.0576
O 0.8785 0.3209 0.5576

## Properties
* symmetry: Imma, No. 74
* crystal system: orthorhombic
* uncorrected energy: -6.36 eV/atom


No. 8
CaPr2Th3Bi6 | PBE-GGA | relaxed

Lattice parameters (Å, degrees): 10.3248 10.3248 9.2306 102.83 102.83 25.85
Sites, in units of the cell vectors:
Ca 0.0000 0.0000 0.0000
Pr 0.3339 0.3339 0.6670
Pr 0.6661 0.6661 0.3330
Th 0.0000 0.0000 0.5000
Th 0.3337 0.3337 0.1669
Th 0.6663 0.6663 0.8331
Bi 0.1662 0.1662 0.5848
Bi 0.1666 0.1666 0.0807
Bi 0.4989 0.4989 0.2498
Bi 0.5011 0.5011 0.7502
Bi 0.8334 0.8334 0.9193
Bi 0.8338 0.8338 0.4152

## Properties
* symmetry: C2/m, No. 12
* formation energy: -767 meV per atom
* crystal system: monoclinic


The records above yield magnetization values of 0.0, 0.0, 0.0, 1.4, 0.0, 0.0, 0.0, 0.0 μB per cell, respectively.
The records above yield density of states at the Fermi level values of 1.059, 2.012, 0.000, 1.694, 0.568, 0.374, 0.164, 0.444 states/eV per atom, respectively.